Material: CrCuTc2
Method: DFT, PBE-GGA
State: relaxed

Output
- DFT formation energy (eV per atom) = 0.219
- ρ (g/cm3) = 9.674
- M_tot (μB/cell) = 0.00

abc: 2.6699 3.8505 5.2017
angles: 90.00 90.00 90.00
Last column: nearest neighbours and their distance in Å.
Space group Pmm2 (No. 25)
Asymmetric unit:
Cr (0.0000, 0.0000, 0.0000) x1  6 Tc 2.59-2.67, 4 Cu 2.67, 2 Cr 2.67
Cu (0.5000, 0.5000, 0.2446) x1  6 Tc 2.56-2.70, 4 Cr 2.67, 2 Cu 2.67
Tc (0.0000, 0.0000, 0.5013) x1  2 Cr 2.59-2.61, 6 Tc 2.67-2.68, 4 Cu 2.70
Tc (0.5000, 0.5000, 0.7520) x1  2 Cu 2.56-2.64, 6 Tc 2.67-2.68, 4 Cr 2.67